w:
Computed, not measured: CrNiIO2 after structural relaxation at the GGA+U level of DFT.

a b c (Å): 3.904 3.904 5.678
angles (deg): 90.00 90.00 90.00
Fractional positions:
O1 0.500 0.000 0.000
O2 0.000 0.500 0.000
Ni1 0.000 0.000 0.000
Cr1 0.500 0.500 0.500
I1 0.000 0.000 0.500

Properties
The value obtained for the density of states at the Fermi level is 2.254 states/eV/f.u. The volume is 17.312 A^3/atom. Its density is 5.17 g/cm3.


x:
Computed, not measured: CrNiIO2 after structural relaxation at the GGA+U level of DFT.

a b c (Å): 3.723 3.723 7.051
angles (deg): 90.00 90.00 90.00
Fractional positions:
Ni1 0.500 0.500 0.500
I1 0.000 0.000 0.500
O1 0.500 0.000 0.000
O2 0.000 0.500 0.000
Cr1 0.000 0.000 0.000

Properties
The value obtained for the density of states at the Fermi level is 2.368 states/eV/f.u. The volume is 19.550 A^3/atom. Its density is 4.58 g/cm3.


According to the calculations, the structures order from most to least stable as x, w.